# Ac2HoPaN4

A geometry-optimized Ac2HoPaN4 structure (GGA-PBE, Alexandria via LeMat-Bulk).

The total energy comes out at -8.3559 eV/atom. The calculation puts the density of states at the Fermi level at 0.34 states/eV/atom. The value obtained for the formation energy from raw total energies is -1407 meV per atom.

It has space group P2/m (No. 10), with a = 6.2030 Å, b = 3.6435 Å, c = 6.5243 Å, α = 90.00°, β = 108.51° and γ = 90.00°. The inequivalent atoms are Ac at (0.0000, 0.0000, 0.0000), Ac at (0.5000, 0.5000, 0.0000), Ho at (0.0000, 0.5000, 0.5000), Pa at (0.5000, 0.0000, 0.5000), N at (0.2509, 0.0000, 0.7045) and N at (0.2769, 0.5000, 0.3020).